Entry i
Compound: LiYNiGe
Source: OQMD
Functional: PBE
Structure: optimized geometry

a = 6.3274 Å, b = 6.3274 Å, c = 6.3274 Å
α = 90.00°, β = 90.00°, γ = 90.00°
Closest atoms and distances in Å follow each position.
Space group F-43m (No. 216)
Inequivalent atoms, fractional coordinates:
Li  0.0000  0.0000  0.0000 [4 per cell]  4 Y 2.74, 4 Ge 2.74
Y  0.2500  0.2500  0.7500 [4 per cell]  4 Li 2.74, 4 Ni 2.74
Ni  0.0000  0.0000  0.5000 [4 per cell]  4 Ge 2.74, 4 Y 2.74
Ge  0.2500  0.2500  0.2500 [4 per cell]  4 Li 2.74, 4 Ni 2.74

Entry ii
Compound: LiYNiGe
Source: OQMD
Functional: PBE
Structure: optimized geometry

a = 6.5445 Å, b = 6.5445 Å, c = 6.5445 Å
α = 90.00°, β = 90.00°, γ = 90.00°
Closest atoms and distances in Å follow each position.
Space group F-43m (No. 216)
Inequivalent atoms, fractional coordinates:
Li  0.0000  0.0000  0.0000 [4 per cell]  4 Ni 2.83, 4 Ge 2.83
Y  0.0000  0.0000  0.5000 [4 per cell]  4 Ge 2.83, 4 Ni 2.83
Ni  0.2500  0.2500  0.2500 [4 per cell]  4 Li 2.83, 4 Y 2.83
Ge  0.2500  0.2500  0.7500 [4 per cell]  4 Li 2.83, 4 Y 2.83

entry i wins, 0.220 eV/atom ahead of the next structure.

Entry i
Compound: NaPrBe
Source: OQMD
Functional: PBE
Structure: optimized geometry

a = 6.9610 Å, b = 6.9610 Å, c = 6.9610 Å
α = 90.00°, β = 90.00°, γ = 90.00°
Closest atoms and distances in Å follow each position.
Space group F-43m (No. 216)
Inequivalent atoms, fractional coordinates:
Na  0.0000  0.0000  0.0000 [4 per cell]  4 Pr 3.01
Pr  0.2500  0.2500  0.7500 [4 per cell]  4 Na 3.01, 4 Be 3.01
Be  0.0000  0.0000  0.5000 [4 per cell]  4 Pr 3.01

Entry ii
Compound: NaPrBe
Source: OQMD
Functional: PBE
Structure: optimized geometry

a = 6.8405 Å, b = 6.8405 Å, c = 6.8405 Å
α = 90.00°, β = 90.00°, γ = 90.00°
Closest atoms and distances in Å follow each position.
Space group F-43m (No. 216)
Inequivalent atoms, fractional coordinates:
Na  0.0000  0.0000  0.0000 [4 per cell]  4 Be 2.96
Pr  0.0000  0.0000  0.5000 [4 per cell]  4 Be 2.96
Be  0.2500  0.2500  0.2500 [4 per cell]  4 Na 2.96, 4 Pr 2.96

entry ii wins, 0.413 eV/atom ahead of the next structure.

Entry i
Compound: GdSnBi
Source: OQMD
Functional: PBE
Structure: optimized geometry

a = 7.4139 Å, b = 7.4139 Å, c = 7.4139 Å
α = 90.00°, β = 90.00°, γ = 90.00°
Closest atoms and distances in Å follow each position.
Space group F-43m (No. 216)
Inequivalent atoms, fractional coordinates:
Gd  0.0000  0.0000  0.0000 [4 per cell]  4 Sn 3.21
Sn  0.2500  0.2500  0.7500 [4 per cell]  4 Gd 3.21, 4 Bi 3.21
Bi  0.0000  0.0000  0.5000 [4 per cell]  4 Sn 3.21

Entry ii
Compound: GdSnBi
Source: OQMD
Functional: PBE
Structure: optimized geometry

a = 7.4204 Å, b = 7.4204 Å, c = 7.4204 Å
α = 90.00°, β = 90.00°, γ = 90.00°
Closest atoms and distances in Å follow each position.
Space group F-43m (No. 216)
Inequivalent atoms, fractional coordinates:
Gd  0.0000  0.0000  0.0000 [4 per cell]  4 Sn 3.21, 4 Bi 3.21
Sn  0.2500  0.2500  0.2500 [4 per cell]  4 Gd 3.21
Bi  0.2500  0.2500  0.7500 [4 per cell]  4 Gd 3.21

entry ii wins, 0.045 eV/atom ahead of the next structure.

Entry i
Compound: YTlFeAu
Source: OQMD
Functional: PBE
Structure: optimized geometry

a = 6.9152 Å, b = 6.9152 Å, c = 6.9152 Å
α = 90.00°, β = 90.00°, γ = 90.00°
Closest atoms and distances in Å follow each position.
Space group F-43m (No. 216)
Inequivalent atoms, fractional coordinates:
Y  0.0000  0.0000  0.0000 [4 per cell]  4 Au 2.99, 4 Fe 2.99
Tl  0.0000  0.0000  0.5000 [4 per cell]  4 Fe 2.99, 4 Au 2.99
Fe  0.2500  0.2500  0.7500 [4 per cell]  4 Tl 2.99, 4 Y 2.99
Au  0.2500  0.2500  0.2500 [4 per cell]  4 Tl 2.99, 4 Y 2.99

Entry ii
Compound: YTlFeAu
Source: OQMD
Functional: PBE
Structure: optimized geometry

a = 6.9513 Å, b = 6.9513 Å, c = 6.9513 Å
α = 90.00°, β = 90.00°, γ = 90.00°
Closest atoms and distances in Å follow each position.
Space group F-43m (No. 216)
Inequivalent atoms, fractional coordinates:
Y  0.0000  0.0000  0.0000 [4 per cell]  4 Au 3.01, 4 Tl 3.01
Tl  0.2500  0.2500  0.2500 [4 per cell]  4 Y 3.01, 4 Fe 3.01
Fe  0.0000  0.0000  0.5000 [4 per cell]  4 Tl 3.01, 4 Au 3.01
Au  0.2500  0.2500  0.7500 [4 per cell]  4 Fe 3.01, 4 Y 3.01

entry ii wins, 0.028 eV/atom ahead of the next structure.

Entry i
Compound: HfTlTe3Au
Source: OQMD
Functional: PBE
Structure: optimized geometry

a = 12.9735 Å, b = 4.1997 Å, c = 13.0742 Å
α = 90.00°, β = 90.00°, γ = 90.00°
Closest atoms and distances in Å follow each position.
Space group Pnma (No. 62)
Inequivalent atoms, fractional coordinates:
Hf  0.0494  0.2500  0.1696 [4 per cell]  5 Te 2.76-3.00
Tl  0.1788  0.2500  0.4767 [4 per cell]  2 Au 3.13, 2 Te 3.33
Te  0.0199  0.7500  0.3239 [4 per cell]  1 Au 2.80, 2 Hf 2.94
Te  0.0823  0.2500  0.9300 [4 per cell]  1 Au 2.86, 3 Hf 3.00-3.16
Te  0.2382  0.7500  0.6655 [4 per cell]  1 Hf 2.76, 2 Au 2.83
Au  0.2350  0.7500  0.3080 [4 per cell]  4 Te 2.80-2.86, 2 Tl 3.13

Entry ii
Compound: HfTlTe3Au
Source: OQMD
Functional: PBE
Structure: optimized geometry

a = 4.0862 Å, b = 15.5202 Å, c = 10.9297 Å
α = 90.00°, β = 90.00°, γ = 90.00°
Closest atoms and distances in Å follow each position.
Space group Cmcm (No. 63)
Inequivalent atoms, fractional coordinates:
Hf  0.0000  0.0000  0.0000 [4 per cell]  6 Te 2.94-2.99
Tl  0.0000  0.2326  0.2500 [4 per cell]  8 Te 3.47-3.74, 2 Au 3.58
Te  0.0000  0.0777  0.7500 [4 per cell]  2 Au 2.77, 2 Hf 2.99
Te  0.0000  0.3664  0.5351 [8 per cell]  1 Au 2.74, 2 Hf 2.94
Au  0.0000  0.4567  0.7500 [4 per cell]  4 Te 2.74-2.77

entry ii wins, 0.073 eV/atom ahead of the next structure.

Entry i
Compound: CsPr
Source: OQMD
Functional: PBE
Structure: optimized geometry

a = 7.3236 Å, b = 7.3236 Å, c = 7.3236 Å
α = 90.00°, β = 90.00°, γ = 90.00°
Closest atoms and distances in Å follow each position.
Space group F-43m (No. 216)
Inequivalent atoms, fractional coordinates:
Cs  0.0000  0.0000  0.0000 [4 per cell]  4 Pr 3.17
Pr  0.2500  0.2500  0.7500 [4 per cell]  4 Cs 3.17

Entry ii
Compound: CsPr
Source: OQMD
Functional: PBE
Structure: optimized geometry

a = 7.4362 Å, b = 7.4362 Å, c = 7.4362 Å
α = 90.00°, β = 90.00°, γ = 90.00°
Closest atoms and distances in Å follow each position.
Space group Fm-3m (No. 225)
Inequivalent atoms, fractional coordinates:
Cs  0.0000  0.0000  0.0000 [4 per cell]  6 Pr 3.72
Pr  0.0000  0.0000  0.5000 [4 per cell]  6 Cs 3.72

entry ii wins, 0.376 eV/atom ahead of the next structure.